This record from Alexandria via LeMat-Bulk describes crystalline PbWF3 at its relaxed geometry. The functional is PBE with a Hubbard U.

abc: 4.764 4.764 4.764
angles: 90.00 90.00 90.00
Each line ends with the local moment (μB).
Fractional positions:
F  0.000  0.000  0.500  0.00
F  0.500  0.000  0.000  0.00
F  0.000  0.500  0.000  0.01
Pb  0.000  0.000  0.000  0.00
W  0.500  0.500  0.500  4.15

---

This record from Alexandria via LeMat-Bulk describes crystalline Pb2WF at its relaxed geometry. The functional is PBE with a Hubbard U.

abc: 7.762 7.762 6.426
angles: 52.84 52.84 90.00
Each line ends with the local moment (μB).
Fractional positions:
Pb  0.375  0.438  0.750  -0.03
Pb  0.875  0.812  0.750  -0.03
Pb  0.562  0.125  0.250  -0.03
Pb  0.188  0.625  0.250  -0.03
F  0.250  0.750  0.500  0.03
F  0.500  0.500  0.000  0.03
W  0.750  0.250  0.500  3.52
W  0.000  0.000  0.000  3.52

---

This record from Alexandria via LeMat-Bulk describes crystalline Pb2WF at its relaxed geometry. The functional is PBE with a Hubbard U.

abc: 5.054 5.054 5.054
angles: 60.00 60.00 60.00
Each line ends with the local moment (μB).
Fractional positions:
W  0.500  0.500  0.500  3.22
Pb  0.250  0.250  0.250  -0.03
Pb  0.750  0.750  0.750  -0.03
F  0.000  0.000  0.000  0.06

---

This record from Alexandria via LeMat-Bulk describes crystalline Pb3WF at its relaxed geometry. The functional is PBE with a Hubbard U.

abc: 5.449 5.449 5.449
angles: 90.00 90.00 90.00
Each line ends with the local moment (μB).
Fractional positions:
Pb  0.000  0.000  0.500  -0.03
Pb  0.000  0.500  0.000  -0.10
Pb  0.500  0.000  0.000  -0.15
W  0.000  0.000  0.000  1.49
F  0.500  0.500  0.500  -0.05

---

| no. | DOS at the Fermi energy (states/eV per atom) | calculated total energy (eV per atom) |
| --- | --- | --- |
| 1 | 0.190 | -4.20 |
| 2 | 0.493 | -3.94 |
| 3 | 0.571 | -4.01 |
| 4 | 0.240 | -3.76 |